# 1
# Tb2Ho6Pu, optimized geometry, DFT PBE
# **Space-group type**: P-1 (2)
# **Formation energy**: 0.08 eV/atom
data_Tb2Ho6Pu
_cell_length_a 3.491
_cell_length_b 9.652
_cell_length_c 8.495
_cell_angle_alpha 103.68
_cell_angle_beta 89.80
_cell_angle_gamma 91.92
_space_group_name_H-M_alt 'P 1'
_space_group_IT_number 1
loop_
_space_group_symop_operation_xyz
'x,y,z'
loop_
_atom_site_label
_atom_site_fract_x
_atom_site_fract_y
_atom_site_fract_z
Tb1 0.771 0.388 0.821
Tb2 0.229 0.612 0.179
Ho1 0.259 0.076 0.859
Ho2 0.741 0.924 0.141
Ho3 0.796 0.285 0.187
Ho4 0.259 0.152 0.479
Ho5 0.204 0.715 0.813
Ho6 0.741 0.848 0.521
Pu1 0.500 0.500 0.500

# 2
# Ca2Fe2C3, optimized geometry, DFT PBE
# **Space-group type**: C2/m (12)
# **Formation energy**: -0.04 eV/atom
data_Ca2Fe2C3
_cell_length_a 3.392
_cell_length_b 5.300
_cell_length_c 5.718
_cell_angle_alpha 69.78
_cell_angle_beta 72.75
_cell_angle_gamma 71.34
_space_group_name_H-M_alt 'P 1'
_space_group_IT_number 1
loop_
_space_group_symop_operation_xyz
'x,y,z'
loop_
_atom_site_label
_atom_site_fract_x
_atom_site_fract_y
_atom_site_fract_z
Ca1 0.569 0.198 0.663
Ca2 0.431 0.802 0.337
Fe1 0.802 0.317 0.080
Fe2 0.198 0.683 0.920
C1 0.000 0.000 0.000
C2 0.798 0.632 0.773
C3 0.202 0.368 0.227

# 3
# Nd8Te4P3Cl, optimized geometry, DFT PBE
# **Space-group type**: R-3m (166)
# **Formation energy without anion corrections**: -1.547 eV/atom
data_Nd8Te4P3Cl
_cell_length_a 8.534
_cell_length_b 8.793
_cell_length_c 8.534
_cell_angle_alpha 119.03
_cell_angle_beta 120.00
_cell_angle_gamma 90.00
_space_group_name_H-M_alt 'P 1'
_space_group_IT_number 1
loop_
_space_group_symop_operation_xyz
'x,y,z'
loop_
_atom_site_label
_atom_site_fract_x
_atom_site_fract_y
_atom_site_fract_z
Nd1 0.245 0.714 0.969
Nd2 0.245 0.714 0.490
Nd3 0.263 0.289 0.526
Nd4 0.724 0.714 0.969
Nd5 0.276 0.286 0.031
Nd6 0.737 0.711 0.474
Nd7 0.755 0.286 0.510
Nd8 0.755 0.286 0.031
Te1 0.500 0.000 0.000
Te2 0.500 0.000 0.500
Te3 0.000 0.000 0.000
Te4 0.000 0.000 0.500
P1 0.500 0.500 0.000
P2 0.500 0.500 0.500
P3 0.000 0.500 0.500
Cl1 0.000 0.500 0.000